Computed, not measured: a relaxed structure of FeCuPb2 at the PBE level of DFT.

Cell: 3.2228 3.2228 8.3830 Å, 90.00 90.00 90.00°
Last column: nearest neighbours and their distance in Å.
Space group P4mm (No. 99)
Inequivalent atoms, fractional coordinates:
Fe (0.0000, 0.0000, 0.0000) [1 per cell]  4 Cu 2.55
Cu (0.5000, 0.5000, 0.8634) [1 per cell]  4 Fe 2.55
Pb (0.0000, 0.0000, 0.6336) [1 per cell]  4 Cu 2.98, 1 Fe 3.07, 4 Pb 3.22
Pb (0.5000, 0.5000, 0.2372) [1 per cell]  4 Fe 3.02, 1 Cu 3.13, 4 Pb 3.22

## Properties
* energy above the lowest structure with this stoichiometry: 0.42 kcal/mol of atoms
* ρ: 10.2 g/cm3
* crystal system: tetragonal
* formation energy: 0.3499 eV/atom